CdW3C | GGA-PBE | relaxed

Properties
For the total energy, the calculation gives -5.407 eV per atom. As for the total moment: 0.00 μB per cell. The density of states at the Fermi level comes out at 9.27 states/eV/cell. The calculation puts the volume at 22.7 Å³/atom. The calculation puts the excess energy over the best structure of this formula in the dataset at 3.907 eV per atom. As for the space group: Pm-3m. The formation energy comes out at 4.3924 eV per atom.

Structure (POSCAR):
```
CdW3C
1.0
4.8452 0.0000 0.0000
0.0000 4.8452 0.0000
0.0000 0.0000 4.8452
Cd W C
1 3 1
Direct
0.0000 0.0000 0.0000
0.0000 0.0000 0.5000
0.0000 0.5000 0.0000
0.5000 0.0000 0.0000
0.5000 0.5000 0.5000
```

=====

Cd2W2C | GGA-PBE | relaxed

Properties
For the total energy, the calculation gives -5.439 eV per atom. As for the total moment: 0.00 μB per cell. The density of states at the Fermi level comes out at 2.51 states/eV/cell. The calculation puts the volume at 17.8 Å³/atom. The calculation puts the excess energy over the best structure of this formula in the dataset at 1.540 eV per atom. As for the space group: I4/mmm. The formation energy comes out at 1.9534 eV per atom.

Structure (POSCAR):
```
Cd2W2C
1.0
-1.7318 1.7318 7.4087
1.7318 -1.7318 7.4087
1.7318 1.7318 -7.4087
Cd W C
2 2 1
Direct
0.2500 0.7500 0.5000
0.7500 0.2500 0.5000
0.0781 0.0781 0.0000
0.9219 0.9219 0.0000
0.5000 0.5000 0.0000
```

=====

Cd3WC | GGA-PBE | relaxed

Properties
For the total energy, the calculation gives -3.353 eV per atom. As for the total moment: 3.42 μB per cell. The density of states at the Fermi level comes out at 3.20 states/eV/cell. The calculation puts the volume at 19.1 Å³/atom. The calculation puts the excess energy over the best structure of this formula in the dataset at 0.000 eV per atom. As for the space group: Pm-3m. The formation energy comes out at 1.6314 eV per atom.

Structure (POSCAR):
```
Cd3WC
1.0
4.5726 0.0000 0.0000
0.0000 4.5726 0.0000
0.0000 0.0000 4.5726
Cd W C
3 1 1
Direct
0.0000 0.0000 0.5000
0.0000 0.5000 0.0000
0.5000 0.0000 0.0000
0.5000 0.5000 0.5000
0.0000 0.0000 0.0000
```